Compound: Cd2IN
Source: Alexandria via LeMat-Bulk
Functional: PBE-GGA
Structure: relaxed

Properties
- V: 21.8 Å³/atom
- Raw total energy: -0.1266 Ry per atom
- Crystal system: cubic
- Relative energy among the computed polymorphs: 112.8 kJ per mole of atoms
- E_form (uncorrected): 1205 meV/atom
- Space-group type: Fm-3m (225)

Unit cell a=4.9737 b=4.9737 c=4.9737 alpha=60.00 beta=60.00 gamma=60.00
Fractional positions:
1 Cd 0.2500 0.2500 0.2500
2 Cd 0.7500 0.7500 0.7500
3 I 0.0000 0.0000 0.0000
4 N 0.5000 0.5000 0.5000